# LaTl4W, optimized geometry, DFT PBE
data_LaTl4W
_cell_length_a 8.589
_cell_length_b 8.589
_cell_length_c 8.589
_cell_angle_alpha 90.00
_cell_angle_beta 90.00
_cell_angle_gamma 90.00
_symmetry_space_group_name_H-M 'F -4 3 m'
_symmetry_Int_Tables_number 216
_symmetry_space_group_name_Hall 'F -4 2 3'
loop_
_atom_site_label
_atom_site_type_symbol
_atom_site_fract_x
_atom_site_fract_y
_atom_site_fract_z
_atom_site_occupancy
La1 La 0.000 0.000 0.000 1
Tl1 Tl 0.124 0.124 0.624 1
W1 W 0.250 0.250 0.250 1
# Uncorrected energy: -3.822 eV per atom
# Energy of formation from the pure elements: 0.736 eV per atom
# Fermi-level density of states: 4.799 states/eV/f.u.